A plane-wave DFT calculation with PBE was carried out for an optimized crystal structure of Gd2ErGa3CuNi2.

Unit cell a=3.740 b=7.136 c=7.136 alpha=119.97 beta=90.00 gamma=90.00
Fractional coordinates of all 9 atoms:
1 Ni 0.500 0.665 0.336
2 Ga 0.500 0.997 0.746
3 Ga 0.500 0.746 0.997
4 Ga 0.500 0.256 0.256
5 Gd 0.000 0.000 0.414
6 Er 0.000 0.587 0.587
7 Gd 0.000 0.414 0.000
8 Ni 0.500 0.336 0.665
9 Cu 0.000 0.998 0.998

Summary:
calculated volume	165.0	Å³ per cell
E	-43.07	eV/f.u.